(1)
# HfSc2Cu2 PBEsol optimized geometry
data_HfSc2Cu2
_symmetry_space_group_name_H-M 'P 1'
_symmetry_Int_Tables_number 1
_symmetry_space_group_name_Hall 'P 1'
_cell_length_a 3.2925
_cell_length_b 7.3435
_cell_length_c 7.3435
_cell_angle_alpha 90.00
_cell_angle_beta 90.00
_cell_angle_gamma 90.00
loop_
_atom_site_label
_atom_site_fract_x
_atom_site_fract_y
_atom_site_fract_z
Sc1 0.5000 0.1675 0.6675
Sc2 0.5000 0.6675 0.8325
Sc3 0.5000 0.8325 0.3325
Sc4 0.5000 0.3325 0.1675
Hf1 0.0000 0.0000 0.0000
Hf2 0.0000 0.5000 0.5000
Cu1 0.0000 0.3740 0.8740
Cu2 0.0000 0.8740 0.6260
Cu3 0.0000 0.6260 0.1260
Cu4 0.0000 0.1260 0.3740
# Total DFT energy (no corrections) in Ry per atom: -0.4848
# Formation enthalpy at 0 K in eV/atom: -0.12
# Volume in Å³/cell: 177.6

---

(2)
# Al2ZnPt PBEsol optimized geometry
data_Al2ZnPt
_symmetry_space_group_name_H-M 'P 1'
_symmetry_Int_Tables_number 1
_symmetry_space_group_name_Hall 'P 1'
_cell_length_a 2.8891
_cell_length_b 4.5205
_cell_length_c 4.7210
_cell_angle_alpha 96.66
_cell_angle_beta 107.82
_cell_angle_gamma 90.00
loop_
_atom_site_label
_atom_site_fract_x
_atom_site_fract_y
_atom_site_fract_z
Zn1 0.7517 0.2320 0.5034
Al1 0.9987 0.0184 0.9975
Al2 0.2445 0.7291 0.4890
Pt1 0.5051 0.5205 0.0101
# Total DFT energy (no corrections) in Ry per atom: -0.3414
# Formation enthalpy at 0 K in eV/atom: -0.46
# Volume in Å³/cell: 58.3

---

(3)
# Li2La2Sn PBEsol optimized geometry
data_Li2La2Sn
_symmetry_space_group_name_H-M 'P 1'
_symmetry_Int_Tables_number 1
_symmetry_space_group_name_Hall 'P 1'
_cell_length_a 4.9695
_cell_length_b 7.0215
_cell_length_c 7.0215
_cell_angle_alpha 90.00
_cell_angle_beta 90.00
_cell_angle_gamma 90.00
loop_
_atom_site_label
_atom_site_fract_x
_atom_site_fract_y
_atom_site_fract_z
Li1 0.0000 0.3653 0.8653
Li2 0.0000 0.8653 0.6347
Li3 0.0000 0.6347 0.1347
Li4 0.0000 0.1347 0.3653
Sn1 0.0000 0.0000 0.0000
Sn2 0.0000 0.5000 0.5000
La1 0.5000 0.1758 0.6758
La2 0.5000 0.6758 0.8242
La3 0.5000 0.8242 0.3242
La4 0.5000 0.3242 0.1758
# Total DFT energy (no corrections) in Ry per atom: -0.3016
# Formation enthalpy at 0 K in eV/atom: -0.33
# Volume in Å³/cell: 245.0

---

(4)
# MgCd2Ag PBEsol optimized geometry
data_MgCd2Ag
_symmetry_space_group_name_H-M 'P 1'
_symmetry_Int_Tables_number 1
_symmetry_space_group_name_Hall 'P 1'
_cell_length_a 4.7539
_cell_length_b 4.7539
_cell_length_c 4.7539
_cell_angle_alpha 60.00
_cell_angle_beta 60.00
_cell_angle_gamma 60.00
loop_
_atom_site_label
_atom_site_fract_x
_atom_site_fract_y
_atom_site_fract_z
Mg1 0.2500 0.2500 0.2500
Ag1 0.5000 0.5000 0.5000
Cd1 0.0000 0.0000 0.0000
Cd2 0.7500 0.7500 0.7500
# Total DFT energy (no corrections) in Ry per atom: -0.1446
# Formation enthalpy at 0 K in eV/atom: -0.11
# Volume in Å³/cell: 76.0
# Offset from the most stable computed form in meV per atom: 7

---

(5)
# NaTeOF2 PBEsol optimized geometry
data_NaTeOF2
_symmetry_space_group_name_H-M 'P 1'
_symmetry_Int_Tables_number 1
_symmetry_space_group_name_Hall 'P 1'
_cell_length_a 3.8459
_cell_length_b 3.8459
_cell_length_c 4.3170
_cell_angle_alpha 90.00
_cell_angle_beta 90.00
_cell_angle_gamma 90.00
loop_
_atom_site_label
_atom_site_fract_x
_atom_site_fract_y
_atom_site_fract_z
Na1 0.0000 0.0000 0.0000
Te1 0.5000 0.5000 0.5000
O1 0.0000 0.0000 0.5000
F1 0.0000 0.5000 0.0000
F2 0.5000 0.0000 0.0000
# Formation energy (no corrections) in eV/atom: -0.91
# Total DFT energy (no corrections) in Ry per atom: -0.2731
# Volume in Å³/cell: 63.9

---

(6)
# Ba2TlFe PBEsol optimized geometry
data_Ba2TlFe
_symmetry_space_group_name_H-M 'P 1'
_symmetry_Int_Tables_number 1
_symmetry_space_group_name_Hall 'P 1'
_cell_length_a 4.0911
_cell_length_b 4.0911
_cell_length_c 9.8393
_cell_angle_alpha 78.00
_cell_angle_beta 78.00
_cell_angle_gamma 60.00
loop_
_atom_site_label
_atom_site_fract_x
_atom_site_fract_y
_atom_site_fract_z
Ba1 0.2385 0.2385 0.2846
Ba2 0.7615 0.7615 0.7154
Fe1 0.5000 0.5000 0.5000
Tl1 0.0000 0.0000 0.0000
# Total DFT energy (no corrections) in Ry per atom: -0.2560
# Formation enthalpy at 0 K in eV/atom: 0.49
# Volume in Å³/cell: 138.4

---

(7)
# POs2Br PBEsol optimized geometry
data_POs2Br
_symmetry_space_group_name_H-M 'P 1'
_symmetry_Int_Tables_number 1
_symmetry_space_group_name_Hall 'P 1'
_cell_length_a 3.6671
_cell_length_b 3.6671
_cell_length_c 5.0657
_cell_angle_alpha 111.22
_cell_angle_beta 111.22
_cell_angle_gamma 90.00
loop_
_atom_site_label
_atom_site_fract_x
_atom_site_fract_y
_atom_site_fract_z
Br1 0.2500 0.7500 0.5000
Os1 0.0000 0.0000 0.0000
Os2 0.7500 0.2500 0.5000
P1 0.5000 0.5000 0.0000
# Formation energy (no corrections) in eV/atom: 1.27
# Total DFT energy (no corrections) in Ry per atom: -0.4967
# Volume in Å³/cell: 58.5
# Offset from the most stable computed form in meV per atom: 871

---

(8)
# Ca2MnRh PBEsol optimized geometry
data_Ca2MnRh
_symmetry_space_group_name_H-M 'P 1'
_symmetry_Int_Tables_number 1
_symmetry_space_group_name_Hall 'P 1'
_cell_length_a 4.3624
_cell_length_b 3.9586
_cell_length_c 5.8604
_cell_angle_alpha 90.00
_cell_angle_beta 111.82
_cell_angle_gamma 90.00
loop_
_atom_site_label
_atom_site_fract_x
_atom_site_fract_y
_atom_site_fract_z
Ca1 0.0138 0.0000 0.9026
Ca2 0.7314 0.5000 0.3376
Mn1 0.3149 0.0000 0.5047
Rh1 0.4399 0.5000 0.7551
# Total DFT energy (no corrections) in Ry per atom: -0.4024
# Formation enthalpy at 0 K in eV/atom: 0.07
# Volume in Å³/cell: 94.0

---

(9)
# La2MgTl2 PBEsol optimized geometry
data_La2MgTl2
_symmetry_space_group_name_H-M 'P 1'
_symmetry_Int_Tables_number 1
_symmetry_space_group_name_Hall 'P 1'
_cell_length_a 4.8573
_cell_length_b 7.8155
_cell_length_c 7.8155
_cell_angle_alpha 90.00
_cell_angle_beta 90.00
_cell_angle_gamma 90.00
loop_
_atom_site_label
_atom_site_fract_x
_atom_site_fract_y
_atom_site_fract_z
Tl1 0.0000 0.3607 0.8607
Tl2 0.0000 0.8607 0.6393
Tl3 0.0000 0.6393 0.1393
Tl4 0.0000 0.1393 0.3607
Mg1 0.0000 0.0000 0.0000
Mg2 0.0000 0.5000 0.5000
La1 0.5000 0.1653 0.6653
La2 0.5000 0.6653 0.8347
La3 0.5000 0.8347 0.3347
La4 0.5000 0.3347 0.1653
# Total DFT energy (no corrections) in Ry per atom: -0.2876
# Formation enthalpy at 0 K in eV/atom: -0.38
# Volume in Å³/cell: 296.7

---

(10)
# CrPRu PBEsol optimized geometry
data_CrPRu
_symmetry_space_group_name_H-M 'P 1'
_symmetry_Int_Tables_number 1
_symmetry_space_group_name_Hall 'P 1'
_cell_length_a 3.8610
_cell_length_b 3.8610
_cell_length_c 3.8610
_cell_angle_alpha 60.00
_cell_angle_beta 60.00
_cell_angle_gamma 60.00
loop_
_atom_site_label
_atom_site_fract_x
_atom_site_fract_y
_atom_site_fract_z
Cr1 0.5000 0.5000 0.5000
P1 0.2500 0.2500 0.2500
Ru1 0.0000 0.0000 0.0000
# Total DFT energy (no corrections) in Ry per atom: -0.6577
# Formation enthalpy at 0 K in eV/atom: -0.21
# Volume in Å³/cell: 40.7